(1)
{
  "formula": "Zn2CrRu",
  "functional": "PBEsol",
  "state": "optimized geometry",
  "cell": [[-2.991, 0.303, -0.170], [0.155, -0.710, -3.985], [-0.462, -4.148, 0.722]],
  "species": ["Zn", "Zn", "Cr", "Ru"],
  "frac_coords": [[0.000, 0.000, 0.000], [0.500, 0.500, 0.000], [0.500, 0.000, 0.500], [0.000, 0.500, 0.500]],
  "n_ef_per_ev_atom": 0.745,
  "magnetic_moment_mub_per_fu": 1.2,
  "energy_ev_per_atom": -5.735,
  "crystal_system": "orthorhombic",
  "e_form_kj_per_mol_atoms": 15.42,
  "space_group": "Pmmm (47)",
  "polymorph_energy_ev_per_atom": 0.1596
}

(2)
{
  "formula": "ZnCrRu",
  "functional": "PBEsol",
  "state": "optimized geometry",
  "cell": [[2.915, 0.000, 0.000], [0.000, 2.915, 0.000], [-1.458, -1.458, 4.459]],
  "species": ["Ru", "Zn", "Cr"],
  "frac_coords": [[0.654, 0.654, 0.308], [0.337, 0.337, 0.674], [0.009, 0.009, 0.018]],
  "n_ef_per_ev_atom": 0.514,
  "magnetic_moment_mub_per_fu": 0.0,
  "energy_ev_per_atom": -7.307,
  "crystal_system": "tetragonal",
  "e_form_kj_per_mol_atoms": 2.39,
  "space_group": "I4mm (107)"
}

(3)
{
  "formula": "Zn2CrRu",
  "functional": "PBEsol",
  "state": "optimized geometry",
  "cell": [[-1.728, 3.455, -1.724], [-3.343, -0.363, -2.567], [-3.806, 1.327, 1.284]],
  "species": ["Zn", "Zn", "Ru", "Cr"],
  "frac_coords": [[0.750, 0.750, 0.750], [0.250, 0.250, 0.250], [0.500, 0.500, 0.500], [0.000, 0.000, 0.000]],
  "n_ef_per_ev_atom": 1.152,
  "magnetic_moment_mub_per_fu": 3.8,
  "energy_ev_per_atom": -5.697,
  "crystal_system": "cubic",
  "e_form_kj_per_mol_atoms": 19.03,
  "space_group": "Fm-3m (225)",
  "polymorph_energy_ev_per_atom": 0.1970
}